# 1
The following is a DFT calculation (PBE-GGA) of crystalline MgMn4Se at its relaxed geometry.

a b c (Å): 4.8880 4.8880 4.8880
angles (deg): 60.00 60.00 60.00
Fractional positions:
Mg: 0.0000 0.0000 0.0000
Mn: 0.1229 0.6257 0.6257
Mn: 0.6257 0.1229 0.6257
Mn: 0.6257 0.6257 0.1229
Mn: 0.6257 0.6257 0.6257
Se: 0.2500 0.2500 0.2500

VASP energy = -6.547 eV per atom
spin magnetization = 6.199 μB/f.u.
formation energy (no corrections) = 0.413 eV per atom
calculated volume = 13.76 Å³/atom
space group = No. 216

***

# 2
The following is a DFT calculation (PBE-GGA) of crystalline Mg3MnSe4 at its relaxed geometry.

a b c (Å): 6.7262 7.7756 6.7288
angles (deg): 90.00 109.47 90.00
Fractional positions:
Mg: 0.0000 0.1248 0.2500
Mg: 0.0000 0.3740 0.7500
Mg: 0.0000 0.6260 0.2500
Mg: 0.0000 0.8752 0.7500
Mg: 0.5000 0.3740 0.2500
Mg: 0.5000 0.6260 0.7500
Mn: 0.5000 0.1257 0.7500
Mn: 0.5000 0.8743 0.2500
Se: 0.2511 0.3739 0.5014
Se: 0.2511 0.6261 0.0014
Se: 0.2529 0.1232 0.9999
Se: 0.2529 0.8768 0.4999
Se: 0.7471 0.1232 0.5001
Se: 0.7471 0.8768 0.0001
Se: 0.7489 0.3739 0.9986
Se: 0.7489 0.6261 0.4986

VASP energy = -4.506 eV per atom
spin magnetization = 5.000 μB/f.u.
formation energy (no corrections) = -1.020 eV per atom
calculated volume = 20.74 Å³/atom
space group = No. 13

***

# 3
The following is a DFT calculation (PBE-GGA) of crystalline Mg2MnSe3 at its relaxed geometry.

a b c (Å): 4.2268 12.6305 5.9533
angles (deg): 90.00 90.00 90.00
Fractional positions:
Mg: 0.0000 0.1658 0.0000
Mg: 0.0000 0.8342 0.0000
Mg: 0.5000 0.3342 0.5000
Mg: 0.5000 0.6658 0.5000
Mn: 0.0000 0.5000 0.0013
Mn: 0.5000 0.0000 0.5013
Se: 0.0000 0.0000 0.2583
Se: 0.0000 0.3354 0.2471
Se: 0.0000 0.6646 0.2471
Se: 0.5000 0.1646 0.7471
Se: 0.5000 0.5000 0.7583
Se: 0.5000 0.8354 0.7471

VASP energy = -4.774 eV per atom
spin magnetization = 5.000 μB/f.u.
formation energy (no corrections) = -0.972 eV per atom
calculated volume = 26.49 Å³/atom
space group = No. 44

***

# 4
The following is a DFT calculation (PBE-GGA) of crystalline MgMnSiSe2 at its relaxed geometry.

a b c (Å): 5.0723 5.0723 4.7744
angles (deg): 90.00 90.00 90.00
Fractional positions:
Mg: 0.0000 0.0000 0.0000
Mn: 0.5000 0.5000 0.0000
Si: 0.0000 0.0000 0.5000
Se: 0.0000 0.5000 0.5000
Se: 0.5000 0.0000 0.5000

VASP energy = -4.133 eV per atom
spin magnetization = 4.986 μB/f.u.
formation energy (no corrections) = 0.499 eV per atom
calculated volume = 24.57 Å³/atom
space group = No. 123

***

# 5
The following is a DFT calculation (PBE-GGA) of crystalline SrMgMn2Se4 at its relaxed geometry.

a b c (Å): 7.1239 7.1239 13.8364
angles (deg): 90.00 90.00 146.92
Fractional positions:
Sr: 0.1314 0.8686 0.7500
Sr: 0.8686 0.1314 0.2500
Mg: 0.1435 0.8565 0.2500
Mg: 0.8565 0.1435 0.7500
Mn: 0.3752 0.6248 0.5481
Mn: 0.3752 0.6248 0.9519
Mn: 0.6248 0.3752 0.0481
Mn: 0.6248 0.3752 0.4519
Se: 0.0000 0.0000 0.0000
Se: 0.0000 0.0000 0.5000
Se: 0.2592 0.7408 0.1082
Se: 0.2592 0.7408 0.3918
Se: 0.4626 0.5374 0.7500
Se: 0.5374 0.4626 0.2500
Se: 0.7408 0.2592 0.6082
Se: 0.7408 0.2592 0.8918

VASP energy = -5.341 eV per atom
spin magnetization = 9.996 μB/f.u.
formation energy (no corrections) = -0.897 eV per atom
calculated volume = 23.96 Å³/atom
space group = No. 63

***

# 6
The following is a DFT calculation (PBE-GGA) of crystalline SrMg2MnSe4 at its relaxed geometry.

a b c (Å): 7.1035 7.1035 13.8871
angles (deg): 90.00 90.00 146.79
Fractional positions:
Sr: 0.1256 0.8744 0.7500
Sr: 0.8744 0.1256 0.2500
Mg: 0.3758 0.6242 0.5526
Mg: 0.3758 0.6242 0.9474
Mg: 0.6242 0.3758 0.0526
Mg: 0.6242 0.3758 0.4474
Mn: 0.1522 0.8478 0.2500
Mn: 0.8478 0.1522 0.7500
Se: 0.0000 0.0000 0.0000
Se: 0.0000 0.0000 0.5000
Se: 0.2630 0.7370 0.1103
Se: 0.2630 0.7370 0.3897
Se: 0.4538 0.5462 0.7500
Se: 0.5462 0.4538 0.2500
Se: 0.7370 0.2630 0.6103
Se: 0.7370 0.2630 0.8897

VASP energy = -4.667 eV per atom
spin magnetization = 5.000 μB/f.u.
formation energy (no corrections) = -1.170 eV per atom
calculated volume = 23.99 Å³/atom
space group = No. 63